(1)
A plane-wave DFT calculation with PBE-GGA was carried out for K4GeTe4 after structural relaxation. Values from VASP.

Summary:
raw formation energy	-721	meV per atom

Cell and atoms, written as Quantum ESPRESSO input:
```
&SYSTEM
  ibrav = 0, nat = 9, ntyp = 3
/
ATOMIC_SPECIES
K 39.10 K.upf
Ge 72.64 Ge.upf
Te 127.60 Te.upf
CELL_PARAMETERS angstrom
-4.1059 4.1059 6.8197
4.1059 -4.1059 6.8197
4.1059 4.1059 -6.8197
ATOMIC_POSITIONS angstrom
K 4.1059 0.0000 0.0000
K 0.0000 0.0000 2.5696
K 0.0000 4.1059 0.0000
K 0.0000 0.0000 11.0697
Ge 0.0000 0.0000 6.8197
Te 1.5027 -1.5027 5.2343
Te 2.6032 2.6032 1.5854
Te -1.5027 1.5027 5.2343
Te 1.5027 1.5027 8.4051
```



(2)
A plane-wave DFT calculation with PBE-GGA was carried out for RbAgPbF6 after structural relaxation. Values from VASP.

Summary:
raw formation energy	-2003	meV per atom

Cell and atoms, written as Quantum ESPRESSO input:
```
&SYSTEM
  ibrav = 0, nat = 9, ntyp = 4
/
ATOMIC_SPECIES
Rb 85.47 Rb.upf
Ag 107.87 Ag.upf
Pb 207.20 Pb.upf
F 19.00 F.upf
CELL_PARAMETERS angstrom
3.1213 -5.4412 0.0000
3.1213 5.4412 0.0000
-0.0227 0.0000 5.6193
ATOMIC_POSITIONS angstrom
Rb 0.0000 0.0000 0.0000
Ag 3.1100 -1.8011 2.8097
Pb 3.1100 1.8215 2.8097
F 1.3618 1.9013 1.6240
F 2.1561 3.3102 3.9762
F 2.2916 0.2625 3.9813
F 4.0639 3.3102 1.6432
F 3.9283 0.2625 1.6380
F 4.8581 1.9013 3.9953
```